[1]
## Er2TiTc3 (GGA-PBE)

Data for a relaxed Er2TiTc3 crystal.

Output
Mass density   10.00 g/cm3

a = 5.3822 Å, b = 5.3822 Å, c = 13.4389 Å
α = 90.00°, β = 90.00°, γ = 120.00°
Space group R-3m (No. 166, hexagonal axes)
Symmetry-distinct sites (fractional):
1 Er 0.0000 0.0000 0.1219 x6
2 Ti 0.0000 0.0000 0.5000 x3
3 Tc 0.0000 0.5000 0.0000 x9

---

[2]
## ErTiTc2 (GGA-PBE)

Data for a relaxed ErTiTc2 crystal.

Output
Mass density   9.85 g/cm3

a = 3.2293 Å, b = 3.2293 Å, c = 6.6473 Å
α = 90.00°, β = 90.00°, γ = 90.00°
Space group P4/mmm (No. 123)
Symmetry-distinct sites (fractional):
1 Er 0.0000 0.0000 0.0000 x1
2 Ti 0.0000 0.0000 0.5000 x1
3 Tc 0.5000 0.5000 0.2835 x2

---

[3]
## ErTiTc4 (GGA-PBE)

Data for a relaxed ErTiTc4 crystal.

Output
Mass density   9.79 g/cm3

a = 7.4414 Å, b = 7.4414 Å, c = 7.4414 Å
α = 90.00°, β = 90.00°, γ = 90.00°
Space group F-43m (No. 216)
Symmetry-distinct sites (fractional):
1 Er 0.0000 0.0000 0.0000 x4
2 Ti 0.2500 0.2500 0.7500 x4
3 Tc 0.1245 0.1245 0.3755 x16

---

no.,uncorrected energy (eV/f.u.),total moment (Bohr magnetons per cell)
1,-49.50,0.00
2,-33.72,0.00
3,-54.72,0.00